No. 1
Entry from Alexandria: an optimized crystal structure of LaNi2I2 (GGA-PBEsol).

Computed properties:
DFT total energy (eV per atom): -4.490
Calculated volume (Å³ per atom): 20.61
DOS(E_F) (states/eV/f.u.): 1.57

abc: 3.914 3.914 7.274
angles: 105.61 105.61 90.00
Fractional coordinates of all 5 atoms:
Ni 0.250 0.750 0.500
Ni 0.750 0.250 0.500
I 0.629 0.629 0.257
I 0.371 0.371 0.743
La 0.000 0.000 0.000

---

No. 2
Entry from Alexandria: an optimized crystal structure of BaTa2CuSi (GGA-PBEsol).

Computed properties:
DFT total energy (eV per atom): -6.186
Calculated volume (Å³ per atom): 26.22
DOS(E_F) (states/eV/f.u.): 6.51

abc: 4.736 4.736 5.845
angles: 90.00 90.00 90.00
Last column: magnetic moment on the atom in μB.
Fractional coordinates of all 5 atoms:
Si 0.000 0.000 0.000  0.00
Ta 0.500 0.000 0.000  0.43
Ta 0.000 0.500 0.000  0.43
Cu 0.500 0.500 0.500  0.04
Ba 0.000 0.000 0.500  0.06

---

No. 3
Entry from Alexandria: an optimized crystal structure of KTl2Os (GGA-PBEsol).

Computed properties:
DFT total energy (eV per atom): -4.048
Offset from the most stable computed form (meV per atom): 50
Calculated volume (Å³ per atom): 27.68
DOS(E_F) (states/eV/f.u.): 2.15
Formation enthalpy at 0 K (eV per atom): 0.605

abc: 3.144 4.414 7.977
angles: 90.00 90.02 90.00
Fractional coordinates of all 4 atoms:
K 0.374 0.000 0.507
Os 0.375 0.500 0.906
Tl 0.876 0.500 0.200
Tl 0.875 0.000 0.888

---

No. 4
Entry from Alexandria: an optimized crystal structure of BaCuTe2O7 (GGA-PBEsol).

Computed properties:
DFT total energy (eV per atom): -5.965
Calculated volume (Å³ per atom): 13.98
DOS(E_F) (states/eV/f.u.): 0.99

abc: 5.492 7.203 8.569
angles: 114.85 90.00 90.00
Last column: magnetic moment on the atom in μB.
Fractional coordinates of all 22 atoms:
O 0.009 0.551 0.710  0.07
O 0.750 0.465 0.966  0.00
O 0.999 0.162 0.685  0.09
O 0.991 0.841 0.290  0.07
O 0.491 0.551 0.710  0.07
O 0.250 0.141 0.271  0.02
O 0.750 0.870 0.729  0.02
O 0.500 0.135 0.000  0.00
O 0.501 0.162 0.685  0.09
O 0.499 0.477 0.315  0.09
O 0.001 0.477 0.315  0.09
O 0.000 0.135 0.000  0.00
O 0.509 0.841 0.290  0.07
O 0.250 0.499 0.034  0.00
Cu 0.750 0.631 0.263  0.57
Cu 0.250 0.367 0.737  0.57
Te 0.250 0.326 0.156  0.01
Te 0.250 0.822 0.139  0.01
Te 0.750 0.683 0.861  0.01
Te 0.750 0.170 0.844  0.01
Ba 0.750 0.217 0.420  0.00
Ba 0.250 0.798 0.580  0.00

---

No. 5
Entry from Alexandria: an optimized crystal structure of Hf2TiSi2 (GGA-PBEsol).

Computed properties:
DFT total energy (eV per atom): -9.018
Calculated volume (Å³ per atom): 16.76
DOS(E_F) (states/eV/f.u.): 5.11

abc: 3.672 6.756 6.756
angles: 90.00 90.00 90.00
Fractional coordinates of all 10 atoms:
Si 0.000 0.126 0.374
Si 0.000 0.626 0.126
Si 0.000 0.874 0.626
Si 0.000 0.374 0.874
Hf 0.500 0.174 0.674
Hf 0.500 0.826 0.326
Hf 0.500 0.674 0.826
Hf 0.500 0.326 0.174
Ti 0.000 0.500 0.500
Ti 0.000 0.000 0.000

---

No. 6
Entry from Alexandria: an optimized crystal structure of Hf3OsO (GGA-PBEsol).

Computed properties:
DFT total energy (eV per atom): -10.920
Calculated volume (Å³ per atom): 15.91
DOS(E_F) (states/eV/f.u.): 3.76

abc: 4.301 4.301 4.301
angles: 90.00 90.00 90.00
Fractional coordinates of all 5 atoms:
O 0.000 0.000 0.000
Os 0.500 0.500 0.500
Hf 0.000 0.000 0.500
Hf 0.000 0.500 0.000
Hf 0.500 0.000 0.000

---

No. 7
Entry from Alexandria: an optimized crystal structure of CaCoMo2 (GGA-PBEsol).

Computed properties:
DFT total energy (eV per atom): -7.599
Offset from the most stable computed form (meV per atom): 0
Calculated volume (Å³ per atom): 16.05
DOS(E_F) (states/eV/f.u.): 4.61
Formation enthalpy at 0 K (eV per atom): 0.753

abc: 3.710 3.710 5.350
angles: 110.29 110.29 90.00
Fractional coordinates of all 4 atoms:
Co 0.000 0.000 0.000
Mo 0.750 0.250 0.500
Mo 0.250 0.750 0.500
Ca 0.500 0.500 0.000

---

No. 8
Entry from Alexandria: an optimized crystal structure of BeTe3 (GGA-PBEsol).

Computed properties:
DFT total energy (eV per atom): -3.392
Offset from the most stable computed form (meV per atom): 62
Calculated volume (Å³ per atom): 26.04
DOS(E_F) (states/eV/f.u.): 1.49

abc: 5.134 5.134 5.134
angles: 109.47 109.47 109.47
Fractional coordinates of all 4 atoms:
Te 0.500 0.000 0.500
Te 0.500 0.500 0.000
Te 0.000 0.500 0.500
Be 0.000 0.000 0.000

---

No. 9
Entry from Alexandria: an optimized crystal structure of TaInCo (GGA-PBEsol).

Computed properties:
DFT total energy (eV per atom): -7.599
Calculated volume (Å³ per atom): 15.64
DOS(E_F) (states/eV/f.u.): 1.39
Formation enthalpy at 0 K (eV per atom): 0.158

abc: 2.834 4.373 4.373
angles: 120.00 90.00 90.00
Fractional coordinates of all 3 atoms:
Co 0.839 0.000 0.000
In 0.830 0.667 0.333
Ta 0.331 0.333 0.667

---

No. 10
Entry from Alexandria: an optimized crystal structure of ScIr2Br (GGA-PBEsol).

Computed properties:
DFT total energy (eV per atom): -6.752
Offset from the most stable computed form (meV per atom): 120
Calculated volume (Å³ per atom): 16.39
DOS(E_F) (states/eV/f.u.): 2.42

abc: 3.154 4.559 4.559
angles: 90.00 90.00 90.00
Fractional coordinates of all 4 atoms:
Ir 0.000 0.000 0.500
Ir 0.000 0.500 0.000
Br 0.500 0.000 0.000
Sc 0.500 0.500 0.500

---

No. 11
Entry from Alexandria: an optimized crystal structure of LiErGe (GGA-PBEsol).

Computed properties:
DFT total energy (eV per atom): -4.684
Calculated volume (Å³ per atom): 19.13
DOS(E_F) (states/eV/f.u.): 0.22
Formation enthalpy at 0 K (eV per atom): -0.739

abc: 4.191 6.888 6.888
angles: 120.00 90.00 90.00
Fractional coordinates of all 9 atoms:
Ge 0.500 0.667 0.333
Ge 0.000 0.000 0.000
Ge 0.500 0.333 0.667
Er 0.000 0.000 0.572
Er 0.000 0.428 0.428
Er 0.000 0.572 0.000
Li 0.500 0.767 0.767
Li 0.500 0.233 0.000
Li 0.500 0.000 0.233

---

No. 12
Entry from Alexandria: an optimized crystal structure of MnAgMo (GGA-PBEsol).

Computed properties:
DFT total energy (eV per atom): -7.306
Calculated volume (Å³ per atom): 16.38
DOS(E_F) (states/eV/f.u.): 2.55
Formation enthalpy at 0 K (eV per atom): 0.974

abc: 4.111 4.111 4.111
angles: 60.00 60.00 60.00
Last column: magnetic moment on the atom in μB.
Fractional coordinates of all 3 atoms:
Mn 0.250 0.250 0.250  1.91
Mo 0.000 0.000 0.000  -1.21
Ag 0.500 0.500 0.500  0.01